CdH4S2O5 | GGA-PBE | relaxed

Electronic total energy: -4.96 eV per atom
Volume: 11.07 Å³/atom
Crystal system: monoclinic

a b c (Å): 5.539 7.057 13.890
angles (deg): 90.00 101.87 90.00
Fractional coordinates of all 48 atoms:
Cd: 0.120 0.174 0.182
Cd: 0.120 0.326 0.682
Cd: 0.880 0.674 0.318
Cd: 0.880 0.826 0.818
H: 0.223 0.623 0.495
H: 0.223 0.877 0.995
H: 0.251 0.158 0.981
H: 0.251 0.342 0.481
H: 0.327 0.139 0.533
H: 0.327 0.361 0.033
H: 0.398 0.637 0.419
H: 0.398 0.863 0.919
H: 0.602 0.137 0.081
H: 0.602 0.363 0.581
H: 0.673 0.639 0.967
H: 0.673 0.861 0.467
H: 0.749 0.658 0.519
H: 0.749 0.842 0.019
H: 0.777 0.123 0.005
H: 0.777 0.377 0.505
S: 0.018 0.029 0.338
S: 0.018 0.471 0.838
S: 0.300 0.679 0.157
S: 0.300 0.821 0.657
S: 0.700 0.179 0.343
S: 0.700 0.321 0.843
S: 0.982 0.529 0.162
S: 0.982 0.971 0.662
O: 0.210 0.633 0.617
O: 0.210 0.867 0.117
O: 0.236 0.583 0.427
O: 0.236 0.917 0.927
O: 0.300 0.225 0.045
O: 0.300 0.275 0.545
O: 0.424 0.580 0.088
O: 0.424 0.920 0.588
O: 0.449 0.697 0.257
O: 0.449 0.803 0.757
O: 0.551 0.197 0.243
O: 0.551 0.303 0.743
O: 0.576 0.080 0.412
O: 0.576 0.420 0.912
O: 0.700 0.725 0.455
O: 0.700 0.775 0.955
O: 0.764 0.083 0.073
O: 0.764 0.417 0.573
O: 0.790 0.133 0.883
O: 0.790 0.367 0.383

***

CdH2S2O8 | GGA-PBE | relaxed

Electronic total energy: -5.49 eV per atom
Volume: 10.85 Å³/atom
Crystal system: monoclinic

a b c (Å): 5.220 12.825 8.435
angles (deg): 90.00 92.77 90.00
Fractional coordinates of all 52 atoms:
Cd: 0.203 0.044 0.251
Cd: 0.203 0.456 0.751
Cd: 0.797 0.544 0.249
Cd: 0.797 0.956 0.749
H: 0.066 0.227 0.796
H: 0.066 0.273 0.296
H: 0.458 0.727 0.432
H: 0.458 0.773 0.932
H: 0.542 0.227 0.068
H: 0.542 0.273 0.568
H: 0.934 0.727 0.704
H: 0.934 0.773 0.204
S: 0.269 0.650 0.055
S: 0.269 0.850 0.555
S: 0.305 0.098 0.872
S: 0.305 0.402 0.372
S: 0.695 0.598 0.628
S: 0.695 0.902 0.128
S: 0.731 0.150 0.445
S: 0.731 0.350 0.945
O: 0.026 0.674 0.132
O: 0.026 0.826 0.632
O: 0.159 0.165 0.745
O: 0.159 0.335 0.245
O: 0.184 0.506 0.367
O: 0.184 0.994 0.867
O: 0.247 0.546 0.985
O: 0.247 0.954 0.485
O: 0.283 0.149 0.028
O: 0.283 0.351 0.528
O: 0.289 0.734 0.924
O: 0.289 0.766 0.424
O: 0.427 0.594 0.671
O: 0.427 0.906 0.171
O: 0.494 0.661 0.163
O: 0.494 0.839 0.663
O: 0.506 0.161 0.337
O: 0.506 0.339 0.837
O: 0.573 0.094 0.829
O: 0.573 0.406 0.329
O: 0.711 0.234 0.576
O: 0.711 0.266 0.076
O: 0.717 0.649 0.472
O: 0.717 0.851 0.972
O: 0.753 0.046 0.515
O: 0.753 0.454 0.015
O: 0.816 0.006 0.133
O: 0.816 0.494 0.633
O: 0.841 0.665 0.755
O: 0.841 0.835 0.255
O: 0.974 0.174 0.368
O: 0.974 0.326 0.868